(1)
The following is a PBE-GGA calculation of an optimized crystal structure of Li12AlCu6, from Alexandria via LeMat-Bulk.

Properties
density of states at the Fermi level: 7.671 states/eV per cell
electronic total energy: -52.02 eV per formula unit
magnetic moment: 0.0 μB/cell
calculated volume: 293.25 Å³ per cell

Cell lengths 6.646, 6.646, 6.646 Å; angles 88.55, 88.55, 88.55 degrees
Sites, in units of the cell vectors:
Li 0.024 0.311 0.918
Li 0.082 0.976 0.689
Li 0.114 0.348 0.461
Li 0.311 0.918 0.024
Li 0.348 0.461 0.114
Li 0.461 0.114 0.348
Li 0.539 0.886 0.652
Li 0.652 0.539 0.886
Li 0.689 0.082 0.976
Li 0.886 0.652 0.539
Li 0.918 0.024 0.311
Li 0.976 0.689 0.082
Al 0.500 0.500 0.500
Cu 0.240 0.609 0.752
Cu 0.248 0.760 0.391
Cu 0.391 0.248 0.760
Cu 0.609 0.752 0.240
Cu 0.752 0.240 0.609
Cu 0.760 0.391 0.248

(2)
The following is a PBE-GGA calculation of an optimized crystal structure of AcPr6Dy2Ho, from Alexandria via LeMat-Bulk.

Properties
density of states at the Fermi level: 29.068 states/eV per cell
electronic total energy: -45.39 eV per formula unit
magnetic moment: 0.0 μB/cell
calculated volume: 720.11 Å³ per cell

Cell lengths 9.119, 9.119, 9.819 Å; angles 93.14, 93.14, 117.51 degrees
Sites, in units of the cell vectors:
Ac 0.027 0.973 0.750
Ac 0.973 0.027 0.250
Pr 0.007 0.556 0.686
Pr 0.123 0.756 0.053
Pr 0.244 0.877 0.447
Pr 0.291 0.509 0.883
Pr 0.444 0.993 0.814
Pr 0.491 0.709 0.617
Pr 0.509 0.291 0.383
Pr 0.556 0.007 0.186
Pr 0.709 0.491 0.117
Pr 0.756 0.123 0.553
Pr 0.877 0.244 0.947
Pr 0.993 0.444 0.314
Dy 0.205 0.313 0.547
Dy 0.313 0.205 0.047
Dy 0.687 0.795 0.953
Dy 0.795 0.687 0.453
Ho 0.413 0.587 0.250
Ho 0.587 0.413 0.750

(3)
The following is a PBE-GGA calculation of an optimized crystal structure of CaScZn2Co, from Alexandria via LeMat-Bulk.

Properties
density of states at the Fermi level: 5.751 states/eV per cell
distance to the lowest polymorph of the same formula: 1.96 eV/f.u.
magnetic moment: 0.7 μB/cell
calculated volume: 104.56 Å³ per cell

Cell lengths 4.707, 4.707, 4.719 Å; angles 90.00, 90.00, 90.00 degrees
Sites, in units of the cell vectors:
Ca 0.000 0.000 0.000
Sc 0.500 0.500 0.000
Zn 0.000 0.500 0.500
Zn 0.500 0.000 0.500
Co 0.000 0.000 0.500

(4)
The following is a PBE-GGA calculation of an optimized crystal structure of TmTl2AgF6, from Alexandria via LeMat-Bulk.

Properties
density of states at the Fermi level: 0.000 states/eV per cell
energy relative to the elements, uncorrected: -2.580 eV/atom
magnetic moment: 0.2 μB/cell
calculated volume: 378.26 Å³ per cell

Cell lengths 6.358, 6.416, 11.178 Å; angles 90.00, 123.95, 90.00 degrees
Sites, in units of the cell vectors:
Tm 0.000 0.000 0.000
Tm 0.000 0.500 0.500
Tl 0.258 0.034 0.751
Tl 0.258 0.466 0.251
Tl 0.742 0.534 0.749
Tl 0.742 0.966 0.249
Ag 0.500 0.000 0.500
Ag 0.500 0.500 0.000
F 0.149 0.022 0.226
F 0.149 0.478 0.726
F 0.224 0.725 0.039
F 0.224 0.775 0.539
F 0.309 0.190 0.035
F 0.309 0.310 0.535
F 0.691 0.690 0.465
F 0.691 0.810 0.965
F 0.776 0.225 0.461
F 0.776 0.275 0.961
F 0.851 0.522 0.274
F 0.851 0.978 0.774

(5)
The following is a PBE-GGA calculation of an optimized crystal structure of La5Dy6Tm, from Alexandria via LeMat-Bulk.

Properties
density of states at the Fermi level: 18.491 states/eV per cell
electronic total energy: -56.38 eV per formula unit
magnetic moment: 0.0 μB/cell
calculated volume: 403.90 Å³ per cell

Cell lengths 6.215, 7.315, 9.608 Å; angles 112.34, 91.38, 90.04 degrees
Sites, in units of the cell vectors:
La 0.000 0.000 0.000
La 0.329 0.336 0.672
La 0.335 0.833 0.666
La 0.665 0.167 0.334
La 0.671 0.664 0.328
Dy 0.168 0.416 0.331
Dy 0.168 0.915 0.331
Dy 0.500 0.252 0.000
Dy 0.500 0.748 0.000
Dy 0.832 0.085 0.669
Dy 0.832 0.584 0.669
Tm 0.000 0.500 0.000

(6)
The following is a PBE-GGA calculation of an optimized crystal structure of SrPtW, from Alexandria via LeMat-Bulk.

Properties
density of states at the Fermi level: 12.756 states/eV per cell
distance to the lowest polymorph of the same formula: 0.89 eV/f.u.
magnetic moment: 0.0 μB/cell
calculated volume: 276.81 Å³ per cell

Cell lengths 5.483, 4.569, 11.049 Å; angles 90.00, 90.00, 90.00 degrees
Sites, in units of the cell vectors:
Sr 0.084 0.250 0.127
Sr 0.416 0.750 0.627
Sr 0.584 0.250 0.373
Sr 0.916 0.750 0.873
Pt 0.079 0.250 0.439
Pt 0.421 0.750 0.939
Pt 0.579 0.250 0.061
Pt 0.921 0.750 0.561
W 0.079 0.750 0.323
W 0.421 0.250 0.823
W 0.579 0.750 0.177
W 0.921 0.250 0.677